Record 1
11
Lattice="0.114 2.005 -3.611 -3.887 -5.192 -3.005 -2.982 4.413 4.735" Properties=species:S:1:pos:R:3 comment="Zn8Pt2Au (PBE-GGA, optimized geometry)" spacegroup=C2/m final_energy_ev_per_atom=-2.634 pbc="T T T"
Zn -4.214 -1.842 -3.515
Zn -4.208 0.841 0.344
Zn -1.484 0.860 0.433
Zn -1.210 -1.616 -0.935
Zn -5.271 0.365 -2.315
Zn -2.547 0.385 -2.226
Zn -2.541 3.068 1.633
Zn -5.545 2.842 -0.947
Pt -3.871 -1.480 -0.938
Pt -2.884 2.706 -0.944
Au 0.057 1.003 -1.806



Record 2
12
Lattice="-3.562 -3.905 1.025 2.418 -1.052 4.396 -2.640 6.654 2.033" Properties=species:S:1:pos:R:3 comment="Zn3PtAu2 (PBE-GGA, optimized geometry)" spacegroup=C2/c final_energy_ev_per_atom=-3.030 pbc="T T T"
Zn -1.668 -2.754 1.753
Zn 0.524 -2.202 3.668
Zn -0.778 1.842 1.059
Zn -3.395 1.280 3.962
Zn -0.388 0.417 3.493
Zn -3.006 -0.145 6.396
Pt -1.254 -4.151 4.180
Pt 0.110 -0.805 1.242
Au -2.266 -1.440 4.128
Au -2.632 0.011 1.687
Au -1.152 1.686 5.768
Au -1.517 3.137 3.327



Record 3
4
Lattice="2.832 0.010 0.000 -0.013 2.832 0.000 0.000 0.000 7.853" Properties=species:S:1:pos:R:3 comment="ZnPt2Au (PBE-GGA, optimized geometry)" spacegroup=P4mm final_energy_ev_per_atom=-4.370 pbc="T T T"
Au 1.410 1.421 5.800
Pt 0.000 0.000 0.064
Pt 1.410 1.421 2.084
Zn 0.000 0.000 3.832



Record 4
10
Lattice="2.882 0.000 0.000 0.000 2.882 0.000 0.000 0.000 18.001" Properties=species:S:1:pos:R:3 comment="Zn5Pt4Au (PBE-GGA, optimized geometry)" spacegroup=P4/mmm final_energy_ev_per_atom=-3.873 pbc="T T T"
Zn 1.441 1.441 1.974
Zn 1.441 1.441 5.478
Zn 1.441 1.441 9.000
Zn 1.441 1.441 12.523
Zn 1.441 1.441 16.027
Pt 0.000 0.000 3.701
Pt 0.000 0.000 7.236
Pt 0.000 0.000 10.765
Pt 0.000 0.000 14.300
Au 0.000 0.000 0.000



Record 5
4
Lattice="-0.395 -2.743 -4.678 -0.174 -5.432 0.166 -2.208 4.803 1.273" Properties=species:S:1:pos:R:3 comment="ZnPt2Au (PBE-GGA, optimized geometry)" spacegroup=Immm final_energy_ev_per_atom=-4.383 pbc="T T T"
Zn -1.443 -1.014 -2.830
Au -1.333 -2.358 -0.408
Pt -0.560 -8.052 -4.444
Pt -0.293 -4.210 -2.324



Record 6
20
Lattice="7.424 0.000 0.882 0.000 6.635 0.000 1.112 0.000 6.956" Properties=species:S:1:pos:R:3 comment="Zn6PtAu3 (PBE-GGA, optimized geometry)" spacegroup=P2_1/c final_energy_ev_per_atom=-2.525 pbc="T T T"
Zn 6.043 0.484 7.273
Zn 5.677 1.367 4.715
Zn 5.948 2.492 2.051
Zn 2.588 4.142 5.788
Zn 2.859 5.268 3.123
Zn 2.494 6.151 0.566
Zn 1.775 2.833 3.353
Zn 1.409 1.950 0.796
Zn 2.792 0.825 5.088
Zn 5.744 5.810 2.751
Zn 7.127 4.684 7.042
Zn 6.762 3.801 4.485
Pt 4.268 3.317 3.919
Pt 0.000 0.000 0.000
Au 4.980 5.600 5.384
Au 3.712 3.317 0.441
Au 3.556 1.035 2.455
Au 0.712 4.352 1.464
Au 0.556 0.000 3.478
Au 7.824 2.282 6.374



Record 7
8
Lattice="3.941 0.003 1.178 -0.357 3.919 1.185 -0.477 -0.507 8.658" Properties=species:S:1:pos:R:3 comment="ZnPtAu6 (PBE-GGA, optimized geometry)" spacegroup=C2/m final_energy_ev_per_atom=-3.450 pbc="T T T"
Zn 0.000 0.000 0.000
Pt 1.792 1.961 1.182
Au 2.434 2.672 6.149
Au 2.032 0.085 7.458
Au -0.117 2.043 7.463
Au 1.074 3.331 3.563
Au 0.672 0.743 4.872
Au 3.223 1.373 3.559



Record 8
29
Lattice="0.000 6.195 6.195 6.195 0.000 6.195 6.195 6.195 0.000" Properties=species:S:1:pos:R:3 comment="Zn16Pt7Au6 (PBE-GGA, optimized geometry)" spacegroup=Fm-3m final_energy_ev_per_atom=-3.164 pbc="T T T"
Zn 10.803 7.783 7.783
Zn 10.803 10.803 10.803
Zn 7.783 7.783 10.803
Zn 7.783 10.803 7.783
Zn 1.588 1.588 1.588
Zn 1.588 4.608 4.608
Zn 4.608 4.608 1.588
Zn 4.608 1.588 4.608
Zn 7.868 4.522 4.522
Zn 7.868 7.868 7.868
Zn 4.522 4.522 7.868
Zn 4.522 7.868 4.522
Zn 4.522 4.522 4.522
Zn 4.522 7.868 7.868
Zn 7.868 7.868 4.522
Zn 7.868 4.522 7.868
Pt 0.000 0.000 0.000
Pt 3.098 3.098 6.195
Pt 3.098 3.098 0.000
Pt 3.098 6.195 3.098
Pt 3.098 0.000 3.098
Pt 0.000 3.098 3.098
Pt 6.195 3.098 3.098
Au 6.195 6.195 3.138
Au 6.195 6.195 9.252
Au 6.195 3.138 6.195
Au 6.195 9.252 6.195
Au 9.252 6.195 6.195
Au 3.138 6.195 6.195



Copy entry 5 word for word.
4
Lattice="-0.395 -2.743 -4.678 -0.174 -5.432 0.166 -2.208 4.803 1.273" Properties=species:S:1:pos:R:3 comment="ZnPt2Au (PBE-GGA, optimized geometry)" spacegroup=Immm final_energy_ev_per_atom=-4.383 pbc="T T T"
Zn -1.443 -1.014 -2.830
Au -1.333 -2.358 -0.408
Pt -0.560 -8.052 -4.444
Pt -0.293 -4.210 -2.324